Density functional theory data (PBE with a Hubbard U) for AlCoW2O8 after structural relaxation.

## Properties
Magnetization in μB/cell: 8.0
Space group: P-1 (2)
Calculated volume in Å³ per atom: 11.0
E in eV/atom: -7.272

Structure (POSCAR):
```
AlCoW2O8
1.0
-1.0735 2.3560 4.3919
-4.1604 -3.6421 1.0677
5.8536 -5.4500 4.5047
O Al W Co
16 2 4 2
Direct
0.4108 0.8865 0.3893
0.8884 0.6101 0.3669
0.1116 0.3899 0.6331
0.9171 0.1205 0.3803
0.0698 0.3606 0.1376
0.9303 0.1175 0.8900
0.0697 0.8825 0.1100
0.4246 0.8837 0.8899
0.4314 0.3700 0.3543
0.5686 0.6300 0.6457
0.9302 0.6394 0.8624
0.0829 0.8795 0.6197
0.5754 0.1163 0.1101
0.3783 0.3941 0.8742
0.6217 0.6059 0.1258
0.5892 0.1135 0.6107
0.7512 0.3503 0.2620
0.2488 0.6497 0.7380
0.2450 0.1715 0.0015
0.7509 0.8365 0.5021
0.2491 0.1635 0.4979
0.7550 0.8285 0.9985
0.7527 0.3520 0.7408
0.2473 0.6480 0.2592
```